## ScTl3Ni (PBE-GGA)

Data for a geometry-optimized ScTl3Ni structure.

Calculated values
For the relative energy among the computed polymorphs, the calculation gives 0 meV per atom. As for the volume: 25.5 A^3/atom. The value obtained for the total energy is -17.98 eV per formula unit. The formation energy comes out at 0.2465 eV/atom. The calculation puts the density of states at the Fermi level at 0.885 states/eV per atom.

Cell: 5.031 5.031 5.031 Å, 90.00 90.00 90.00°
Positions (direct):
Sc1 0.000 0.000 0.000
Tl1 0.000 0.500 0.500
Tl2 0.500 0.000 0.500
Tl3 0.500 0.500 0.000
Ni1 0.500 0.500 0.500